Here is a geometry-optimized BaMnPbO3 structure from Alexandria via LeMat-Bulk. Energies are from PBE+U. Values from VASP.

```
&SYSTEM
  ibrav = 0, nat = 12, ntyp = 4
/
ATOMIC_SPECIES
O 16.00 O.upf
Pb 207.20 Pb.upf
Ba 137.33 Ba.upf
Mn 54.94 Mn.upf
ATOMIC_POSITIONS crystal
O 0.250 0.112 0.893
O 0.750 0.888 0.107
Pb 0.250 0.227 0.602
Ba 0.250 0.236 0.227
Pb 0.750 0.773 0.398
O 0.250 0.680 0.510
Mn 0.250 0.705 0.085
Mn 0.750 0.295 0.915
O 0.750 0.320 0.490
Ba 0.750 0.764 0.773
O 0.750 0.496 0.155
O 0.250 0.504 0.845
CELL_PARAMETERS angstrom
3.449 0.000 0.000
0.000 7.249 -0.504
0.000 -3.581 8.692
```

Calculated values
ρ = 7.0 Mg/m³
electronic total energy = -6.28 eV/atom